{
  "formula": "PuBe2ZnO6",
  "functional": "GGA-PBE",
  "state": "relaxed",
  "lattice_angstrom": [[5.2792, 0.2347, 0.2435], [1.9762, 6.6661, 0.2504], [1.9762, 0.0032, 6.6708]],
  "species": ["Pu", "Pu", "Be", "Be", "Be", "Be", "Zn", "Zn", "O", "O", "O", "O", "O", "O", "O", "O", "O", "O", "O", "O"],
  "fractional_positions": [[0.2500, 0.2798, 0.7202], [0.7500, 0.7202, 0.2798], [0.3328, 0.7738, 0.6493], [0.1672, 0.3507, 0.2262], [0.6672, 0.2262, 0.3507], [0.8328, 0.6493, 0.7738], [0.2500, 0.9243, 0.0757], [0.7500, 0.0757, 0.9243], [0.1677, 0.9763, 0.7871], [0.3323, 0.2129, 0.0237], [0.8323, 0.0237, 0.2129], [0.6677, 0.7871, 0.9763], [0.3533, 0.8302, 0.3890], [0.1467, 0.6110, 0.1698], [0.6467, 0.1698, 0.6110], [0.8533, 0.3890, 0.8302], [0.1744, 0.6048, 0.7096], [0.3256, 0.2904, 0.3952], [0.8256, 0.3952, 0.2904], [0.6744, 0.7096, 0.6048]],
  "space_group": "C2/c (15)",
  "formation_energy_uncorrected_mev_per_atom": -2255,
  "e_tot_ev_per_atom": -7.535
}